! BaYAu2 (PBE, relaxed); values from VASP
&SYSTEM
  ibrav = 0, nat = 4, ntyp = 3
/
ATOMIC_SPECIES
Au 196.97 Au.upf
Ba 137.33 Ba.upf
Y 88.91 Y.upf
CELL_PARAMETERS angstrom
-1.678 -4.837 0.842
-0.257 -3.378 -3.930
3.326 -3.976 -0.225
ATOMIC_POSITIONS crystal
Au 0.000 0.000 0.000
Au 0.250 0.250 0.250
Ba 0.500 0.500 0.500
Y 0.750 0.750 0.750
! DFT formation energy = -0.3061 eV/atom
! Distance to the lowest polymorph of the same formula = 439 meV per atom
! Calculated density = 10.4 g/cm³
! Total moment = 0.00 μB per cell
! Electronic total energy = -4.041 eV/atom